Compound: VZn2F6
Source: Alexandria via LeMat-Bulk
Functional: GGA+U
Structure: optimized geometry

a = 5.4009 Å, b = 5.4009 Å, c = 5.7268 Å
α = 61.87°, β = 61.87°, γ = 60.00°
With the nearest neighbours (Å) after each atom.
Fractional positions:
V (0.7915, 0.7915, 0.6256)  6 F 2.10-2.17
Zn (0.2844, 0.2844, 0.1467)  6 F 2.06-2.10
Zn (0.4829, 0.4829, 0.5513)  6 F 2.04-2.11
F (0.5354, 0.2022, 0.3741)  2 Zn 2.04-2.06, 1 V 2.17
F (0.2022, 0.8882, 0.3741)  2 Zn 2.04-2.06, 1 V 2.17
F (0.8882, 0.5354, 0.3741)  2 Zn 2.04-2.06, 1 V 2.17
F (0.4243, 0.6466, 0.8504)  1 V 2.10, 2 Zn 2.10-2.11
F (0.6466, 0.0788, 0.8504)  1 V 2.10, 2 Zn 2.10-2.11
F (0.0788, 0.4243, 0.8504)  1 V 2.10, 2 Zn 2.10-2.11

SG: No. 146
total energy: -42.599 eV/f.u.